No. 1
## CaTl2Hg2 (PBE)

Data for a relaxed CaTl2Hg2 crystal.

a b c (Å): 8.189 8.189 4.383
angles (deg): 90.00 90.00 90.00
Fractional positions:
Tl  0.171  0.671  0.500
Tl  0.671  0.829  0.500
Tl  0.829  0.329  0.500
Tl  0.329  0.171  0.500
Ca  0.000  0.000  0.000
Ca  0.500  0.500  0.000
Hg  0.368  0.868  0.000
Hg  0.868  0.632  0.000
Hg  0.632  0.132  0.000
Hg  0.132  0.368  0.000

Values from the calculation:
* symmetry: No. 127
* V: 293.9 Å³ per cell
* relative energy among the computed polymorphs: 41.7 meV/atom
* formation enthalpy at 0 K: -0.178 eV per atom
* total moment: 0.00 μB/cell

=====

No. 2
## NbH12Rh7 (PBE)

Data for a relaxed NbH12Rh7 crystal.

a b c (Å): 6.780 6.780 6.780
angles (deg): 113.39 113.39 113.39
Fractional positions:
Nb  0.000  0.000  0.000
H  0.822  0.316  0.771
H  0.684  0.229  0.178
H  0.349  0.179  0.438
H  0.821  0.562  0.651
H  0.229  0.178  0.684
H  0.562  0.651  0.821
H  0.438  0.349  0.179
H  0.771  0.822  0.316
H  0.179  0.438  0.349
H  0.651  0.821  0.562
H  0.316  0.771  0.822
H  0.178  0.684  0.229
Rh  0.113  0.660  0.930
Rh  0.340  0.070  0.887
Rh  0.070  0.887  0.340
Rh  0.500  0.500  0.500
Rh  0.930  0.113  0.660
Rh  0.660  0.930  0.113
Rh  0.887  0.340  0.070

Values from the calculation:
* symmetry: No. 148
* V: 197.6 Å³ per cell
* total moment: 0.00 μB/cell
* raw total energy: -4.96 eV per atom

=====

No. 3
## MnWBr2 (PBE)

Data for a relaxed MnWBr2 crystal.

a b c (Å): 4.861 4.861 4.861
angles (deg): 60.00 60.00 60.00
Site moments in Bohr magnetons follow the coordinates.
Fractional positions:
Br  0.000  0.000  0.000  -0.04
Br  0.250  0.250  0.250  -0.11
Mn  0.500  0.500  0.500  3.60
W  0.750  0.750  0.750  -2.55

Values from the calculation:
* symmetry: No. 216
* V: 81.2 Å³ per cell
* relative energy among the computed polymorphs: 1106.5 meV/atom
* total moment: 0.21 μB/cell
* raw formation energy: 1263 meV per atom

=====

No. 4
## Nd2Y3TmAs6 (PBE)

Data for a relaxed Nd2Y3TmAs6 crystal.

a b c (Å): 4.168 8.328 9.312
angles (deg): 102.92 102.93 90.00
Fractional positions:
Nd  0.835  0.668  0.669
Nd  0.165  0.332  0.331
Y  0.500  0.500  0.000
Y  0.833  0.166  0.665
Y  0.167  0.834  0.335
Tm  0.500  0.000  0.000
As  0.335  0.924  0.670
As  0.665  0.588  0.330
As  0.665  0.076  0.330
As  0.997  0.245  0.995
As  0.003  0.755  0.005
As  0.335  0.412  0.670

Values from the calculation:
* symmetry: No. 12
* V: 306.6 Å³ per cell
* formation enthalpy at 0 K: -1.523 eV per atom
* total moment: 0.00 μB/cell

=====

No. 5
## Ac3Al4Ir4 (PBE)

Data for a relaxed Ac3Al4Ir4 crystal.

a b c (Å): 4.163 7.694 8.528
angles (deg): 116.82 104.13 90.00
Fractional positions:
Ac  0.117  0.117  0.234
Ac  0.883  0.883  0.766
Ac  0.000  0.500  0.000
Al  0.323  0.133  0.645
Al  0.677  0.488  0.355
Al  0.677  0.867  0.355
Al  0.323  0.512  0.645
Ir  0.222  0.722  0.443
Ir  0.778  0.278  0.557
Ir  0.500  0.780  0.000
Ir  0.500  0.220  0.000

Values from the calculation:
* symmetry: No. 71
* V: 234.5 Å³ per cell
* relative energy among the computed polymorphs: 0.0 meV/atom
* formation enthalpy at 0 K: -0.714 eV per atom
* total moment: 0.00 μB/cell

=====

No. 6
## Ac2DyHfS6 (PBE)

Data for a relaxed Ac2DyHfS6 crystal.

a b c (Å): 7.260 7.260 7.390
angles (deg): 120.68 120.70 91.16
Fractional positions:
Ac  0.784  0.352  0.644
Ac  0.351  0.785  0.644
Dy  0.488  0.488  0.985
Hf  0.995  0.995  0.968
S  0.790  0.790  0.055
S  0.663  0.664  0.484
S  0.144  0.145  0.807
S  0.751  0.239  0.973
S  0.293  0.294  0.464
S  0.239  0.752  0.973

Values from the calculation:
* symmetry: No. 8
* V: 266.5 Å³ per cell
* total moment: 0.00 μB/cell
* raw formation energy: -1887 meV per atom